Entry 1:
! TaCl (meta-GGA SCAN, PBEsol geometry); values from VASP
! V (Å³ per cell): 74
! Magnetization (μB/cell): 0.0
! Formation energy without anion corrections (eV per atom): -0.498
! Mass density (g/cm³): 9.8
&SYSTEM
  ibrav = 0, nat = 4, ntyp = 2
/
ATOMIC_SPECIES
Ta 180.95 Ta.upf
Cl 35.45 Cl.upf
CELL_PARAMETERS angstrom
2.9450 0.0000 0.0000
0.0000 2.9450 0.0000
0.0000 0.0000 8.4965
ATOMIC_POSITIONS crystal
Ta 0.2500 0.2500 0.1266
Ta 0.7500 0.7500 0.8734
Cl 0.2500 0.2500 0.6802
Cl 0.7500 0.7500 0.3198


Entry 2:
! AlCuTc2 (meta-GGA SCAN, PBEsol geometry); values from VASP
! Energy of formation from the pure elements (eV/atom): -0.131
! V (Å³ per cell): 108
! Magnetization (μB/cell): 0.0
! Mass density (g/cm³): 8.9
&SYSTEM
  ibrav = 0, nat = 8, ntyp = 3
/
ATOMIC_SPECIES
Al 26.98 Al.upf
Cu 63.55 Cu.upf
Tc 98.00 Tc.upf
CELL_PARAMETERS angstrom
8.6179 0.0000 0.0000
0.0000 2.7290 0.0000
-0.7134 0.0000 4.5719
ATOMIC_POSITIONS crystal
Al 0.0000 0.0000 0.0000
Al 0.5000 0.5000 0.0000
Cu 0.2526 0.0000 0.7933
Cu 0.7526 0.5000 0.7933
Tc 0.0030 0.5000 0.5056
Tc 0.2510 0.5000 0.2949
Tc 0.5030 0.0000 0.5056
Tc 0.7510 0.0000 0.2949


Entry 3:
! CdPt2W (meta-GGA SCAN, PBEsol geometry); values from VASP
! Energy of formation from the pure elements (eV/atom): 0.320
! V (Å³ per cell): 65
! Magnetization (μB/cell): 0.0
! Mass density (g/cm³): 17.6
&SYSTEM
  ibrav = 0, nat = 4, ntyp = 3
/
ATOMIC_SPECIES
Cd 112.41 Cd.upf
Pt 195.08 Pt.upf
W 183.84 W.upf
CELL_PARAMETERS angstrom
2.7712 0.0000 0.0000
0.0000 4.7562 0.0000
0.0000 0.0000 4.9002
ATOMIC_POSITIONS crystal
Cd 0.0000 0.0000 0.0000
Pt 0.0000 0.5000 0.5000
Pt 0.5000 0.5000 0.0000
W 0.5000 0.0000 0.5000


Entry 4:
! SrAg2Ir (meta-GGA SCAN, PBEsol geometry); values from VASP
! Energy of formation from the pure elements (eV/atom): 0.237
! V (Å³ per cell): 154
! Energy above the lowest structure with this stoichiometry (meV per atom): 171
! Magnetization (μB/cell): 0.0
! Mass density (g/cm³): 10.7
&SYSTEM
  ibrav = 0, nat = 8, ntyp = 3
/
ATOMIC_SPECIES
Sr 87.62 Sr.upf
Ag 107.87 Ag.upf
Ir 192.22 Ir.upf
CELL_PARAMETERS angstrom
4.2747 0.0000 0.0000
0.0000 4.2747 0.0000
0.0000 0.0000 8.4339
ATOMIC_POSITIONS crystal
Sr 0.0000 0.0000 0.0000
Sr 0.5000 0.5000 0.5000
Ag 0.0000 0.5000 0.2500
Ag 0.0000 0.5000 0.7500
Ag 0.5000 0.0000 0.2500
Ag 0.5000 0.0000 0.7500
Ir 0.0000 0.0000 0.5000
Ir 0.5000 0.5000 0.0000


Entry 5:
! Ba2SrAu (meta-GGA SCAN, PBEsol geometry); values from VASP
! Energy of formation from the pure elements (eV/atom): -0.454
! V (Å³ per cell): 574
! Energy above the lowest structure with this stoichiometry (meV per atom): 0
! Magnetization (μB/cell): 0.6
! Mass density (g/cm³): 4.9
&SYSTEM
  ibrav = 0, nat = 12, ntyp = 3
/
ATOMIC_SPECIES
Ba 137.33 Ba.upf
Sr 87.62 Sr.upf
Au 196.97 Au.upf
CELL_PARAMETERS angstrom
4.5138 0.0000 0.0000
-2.2569 3.9090 0.0000
0.0000 0.0000 32.5490
ATOMIC_POSITIONS crystal
Ba 0.0000 0.0000 0.0000
Ba 0.0000 0.0000 0.2172
Ba 0.3333 0.6667 0.6667
Ba 0.3333 0.6667 0.8838
Ba 0.6667 0.3333 0.3333
Ba 0.6667 0.3333 0.5505
Sr 0.0000 0.0000 0.7765
Sr 0.3333 0.6667 0.4431
Sr 0.6667 0.3333 0.1098
Au 0.0000 0.0000 0.4938
Au 0.3333 0.6667 0.1605
Au 0.6667 0.3333 0.8272


Entry 6:
! Ca2RhSe (meta-GGA SCAN, PBEsol geometry); values from VASP
! V (Å³ per cell): 165
! Magnetization (μB/cell): 0.0
! Formation energy without anion corrections (eV per atom): -0.938
! Mass density (g/cm³): 5.3
&SYSTEM
  ibrav = 0, nat = 8, ntyp = 3
/
ATOMIC_SPECIES
Ca 40.08 Ca.upf
Rh 102.91 Rh.upf
Se 78.96 Se.upf
CELL_PARAMETERS angstrom
6.4215 0.0000 0.0000
0.0000 7.2823 0.0000
0.0000 0.0000 3.5273
ATOMIC_POSITIONS crystal
Ca 0.2500 0.2500 0.0000
Ca 0.2500 0.7500 0.0000
Ca 0.7500 0.2500 0.0000
Ca 0.7500 0.7500 0.0000
Rh 0.0000 0.0000 0.5000
Rh 0.5000 0.5000 0.5000
Se 0.0000 0.5000 0.5000
Se 0.5000 0.0000 0.5000


Entry 7:
! SrH3Au (meta-GGA SCAN, PBEsol geometry); values from VASP
! V (Å³ per cell): 59
! Magnetization (μB/cell): 0.0
! Electronic total energy (eV per cell): -103.77
! Mass density (g/cm³): 8.1
&SYSTEM
  ibrav = 0, nat = 5, ntyp = 3
/
ATOMIC_SPECIES
Sr 87.62 Sr.upf
H 1.01 H.upf
Au 196.97 Au.upf
CELL_PARAMETERS angstrom
3.8952 0.0000 0.0000
0.0000 3.8952 0.0000
0.0000 0.0000 3.8952
ATOMIC_POSITIONS crystal
Sr 0.0000 0.0000 0.0000
H 0.0000 0.5000 0.5000
H 0.5000 0.0000 0.5000
H 0.5000 0.5000 0.0000
Au 0.5000 0.5000 0.5000


Entry 8:
! Li3Ni5O10 (meta-GGA SCAN, PBEsol geometry); values from VASP
! V (Å³ per cell): 163
! Magnetization (μB/cell): 3.0
! Formation energy without anion corrections (eV per atom): -1.438
! Mass density (g/cm³): 4.8
&SYSTEM
  ibrav = 0, nat = 18, ntyp = 3
/
ATOMIC_SPECIES
Li 6.94 Li.upf
Ni 58.69 Ni.upf
O 16.00 O.upf
CELL_PARAMETERS angstrom
4.9527 0.0000 0.0000
-1.6620 5.4937 0.0000
-0.7548 -1.9078 6.0030
ATOMIC_POSITIONS crystal
Li 0.0000 0.0000 0.0000
Li 0.2013 0.4007 0.4003
Li 0.7987 0.5993 0.5997
Ni 0.0000 0.5000 0.0000
Ni 0.2022 0.8993 0.4014
Ni 0.3993 0.2955 0.8056
Ni 0.6007 0.7045 0.1944
Ni 0.7978 0.1007 0.5986
O 0.0721 0.4249 0.7073
O 0.0901 0.9732 0.6834
O 0.2728 0.8273 0.1144
O 0.2952 0.3783 0.0824
O 0.4911 0.2272 0.5252
O 0.5089 0.7728 0.4748
O 0.7048 0.6217 0.9176
O 0.7272 0.1727 0.8856
O 0.9099 0.0268 0.3166
O 0.9279 0.5751 0.2927


Entry 9:
! NaHfPCl2 (meta-GGA SCAN, PBEsol geometry); values from VASP
! V (Å³ per cell): 107
! Energy above the lowest structure with this stoichiometry (meV per atom): 1242
! Magnetization (μB/cell): 0.0
! Formation energy without anion corrections (eV per atom): 0.075
! Mass density (g/cm³): 4.7
&SYSTEM
  ibrav = 0, nat = 5, ntyp = 4
/
ATOMIC_SPECIES
Na 22.99 Na.upf
Hf 178.49 Hf.upf
P 30.97 P.upf
Cl 35.45 Cl.upf
CELL_PARAMETERS angstrom
4.4519 0.0000 0.0000
0.0000 4.4519 0.0000
0.0000 0.0000 5.3792
ATOMIC_POSITIONS crystal
Na 0.0000 0.0000 0.0000
Hf 0.5000 0.5000 0.5000
P 0.0000 0.0000 0.5000
Cl 0.0000 0.5000 0.0000
Cl 0.5000 0.0000 0.0000


Entry 10:
! MgCu4Pt (meta-GGA SCAN, PBEsol geometry); values from VASP
! Energy of formation from the pure elements (eV/atom): -0.226
! V (Å³ per cell): 77
! Magnetization (μB/cell): 0.0
! Mass density (g/cm³): 10.2
&SYSTEM
  ibrav = 0, nat = 6, ntyp = 3
/
ATOMIC_SPECIES
Mg 24.30 Mg.upf
Cu 63.55 Cu.upf
Pt 195.08 Pt.upf
CELL_PARAMETERS angstrom
0.0000 3.3764 3.3764
3.3764 0.0000 3.3764
3.3764 3.3764 0.0000
ATOMIC_POSITIONS crystal
Mg 0.0000 0.0000 0.0000
Cu 0.1254 0.6249 0.6249
Cu 0.6249 0.1254 0.6249
Cu 0.6249 0.6249 0.1254
Cu 0.6249 0.6249 0.6249
Pt 0.2500 0.2500 0.2500


Entry 11:
! MnAlBr2 (meta-GGA SCAN, PBEsol geometry); values from VASP
! V (Å³ per cell): 428
! Energy above the lowest structure with this stoichiometry (meV per atom): 298
! Magnetization (μB/cell): 16.2
! Formation energy without anion corrections (eV per atom): -0.290
! Mass density (g/cm³): 3.8
&SYSTEM
  ibrav = 0, nat = 16, ntyp = 3
/
ATOMIC_SPECIES
Mn 54.94 Mn.upf
Al 26.98 Al.upf
Br 79.90 Br.upf
CELL_PARAMETERS angstrom
8.9885 0.0000 0.0000
0.0000 8.9885 0.0000
0.0000 0.0000 5.2949
ATOMIC_POSITIONS crystal
Mn 0.0000 0.0000 0.0000
Mn 0.0000 0.5000 0.2500
Mn 0.5000 0.0000 0.7500
Mn 0.5000 0.5000 0.5000
Al 0.0000 0.0000 0.5000
Al 0.0000 0.5000 0.7500
Al 0.5000 0.0000 0.2500
Al 0.5000 0.5000 0.0000
Br 0.1096 0.7500 0.1250
Br 0.2500 0.1096 0.8750
Br 0.2500 0.3904 0.3750
Br 0.3904 0.7500 0.6250
Br 0.6096 0.2500 0.6250
Br 0.7500 0.6096 0.3750
Br 0.7500 0.8904 0.8750
Br 0.8904 0.2500 0.1250


Entry 12:
! TlW (meta-GGA SCAN, PBEsol geometry); values from VASP
! Energy of formation from the pure elements (eV/atom): 1.189
! V (Å³ per cell): 76
! Energy above the lowest structure with this stoichiometry (meV per atom): 144
! Magnetization (μB/cell): 0.0
! Mass density (g/cm³): 17.0
&SYSTEM
  ibrav = 0, nat = 4, ntyp = 2
/
ATOMIC_SPECIES
Tl 204.38 Tl.upf
W 183.84 W.upf
CELL_PARAMETERS angstrom
2.9190 0.0000 0.0000
0.0000 5.2645 0.0000
0.0000 0.0000 4.9393
ATOMIC_POSITIONS crystal
Tl 0.0000 0.0000 0.0000
Tl 0.5000 0.5000 0.0000
W 0.0000 0.5000 0.5000
W 0.5000 0.0000 0.5000


Entry 13:
! BaTlP3O9 (meta-GGA SCAN, PBEsol geometry); values from VASP
! V (Å³ per cell): 905
! Magnetization (μB/cell): 0.0
! Formation energy without anion corrections (eV per atom): -2.507
! Mass density (g/cm³): 4.2
&SYSTEM
  ibrav = 0, nat = 56, ntyp = 4
/
ATOMIC_SPECIES
Ba 137.33 Ba.upf
Tl 204.38 Tl.upf
P 30.97 P.upf
O 16.00 O.upf
CELL_PARAMETERS angstrom
6.2513 0.0000 0.0000
0.0000 11.2104 0.0000
0.0000 0.0000 12.9196
ATOMIC_POSITIONS crystal
Ba 0.0892 0.1060 0.4253
Ba 0.4108 0.8940 0.9253
Ba 0.5892 0.3940 0.5747
Ba 0.9108 0.6060 0.0747
Tl 0.0988 0.4788 0.3656
Tl 0.4012 0.5212 0.8656
Tl 0.5988 0.0212 0.6344
Tl 0.9012 0.9788 0.1344
P 0.0815 0.2217 0.6800
P 0.0898 0.5944 0.6362
P 0.1151 0.8541 0.6553
P 0.3849 0.1459 0.1553
P 0.4102 0.4056 0.1362
P 0.4185 0.7783 0.1800
P 0.5815 0.2783 0.3200
P 0.5898 0.9056 0.3638
P 0.6151 0.6459 0.3447
P 0.8849 0.3541 0.8447
P 0.9102 0.0944 0.8638
P 0.9185 0.7217 0.8200
O 0.0417 0.9486 0.5824
O 0.0487 0.0233 0.9353
O 0.0489 0.1117 0.7585
O 0.0753 0.3329 0.7594
O 0.1020 0.7258 0.8959
O 0.1063 0.7290 0.5931
O 0.1791 0.1333 0.2143
O 0.1910 0.4518 0.1608
O 0.2002 0.7848 0.1324
O 0.2998 0.2152 0.6324
O 0.3090 0.5482 0.6608
O 0.3209 0.8667 0.7143
O 0.3937 0.2710 0.0931
O 0.3980 0.2742 0.3959
O 0.4247 0.6671 0.2594
O 0.4511 0.8883 0.2585
O 0.4513 0.9767 0.4353
O 0.4583 0.0514 0.0824
O 0.5417 0.5514 0.4176
O 0.5489 0.3883 0.2415
O 0.5487 0.4767 0.0647
O 0.5753 0.1671 0.2406
O 0.6020 0.7742 0.1041
O 0.6063 0.7710 0.4069
O 0.6791 0.3667 0.7857
O 0.6910 0.0482 0.8392
O 0.7002 0.7152 0.8676
O 0.7998 0.2848 0.3676
O 0.8090 0.9518 0.3392
O 0.8209 0.6333 0.2857
O 0.8937 0.2290 0.9069
O 0.8980 0.2258 0.6041
O 0.9247 0.8329 0.7406
O 0.9513 0.5233 0.5647
O 0.9511 0.6117 0.7415
O 0.9583 0.4486 0.9176